Record 1
Material: Ba5GaI5
Method: DFT, PBE
State: relaxed

For the total energy, the calculation gives -0.233 Ry/atom. As for the crystal system: monoclinic. For the energy relative to the elements, uncorrected, the calculation gives -1.3156 eV/atom.

The structure belongs to space group C2/m (No. 12); the cell edges are 16.465, 7.008 and 10.131 Å and the angles 90.00°, 108.79° and 90.00°. Symmetry generates all atoms from Ba at (0.000, 0.000, 0.000), Ba at (0.145, 0.500, 0.843), Ba at (0.149, 0.500, 0.306), Ga at (0.000, 0.500, 0.000), I at (0.000, 0.500, 0.500), I at (0.175, 0.000, 0.840) and I at (0.190, 0.000, 0.334).

=====

Record 2
Material: HfZrZnO2
Method: DFT, PBE
State: relaxed

For the total energy, the calculation gives -0.514 Ry/atom. As for the crystal system: tetragonal. For the energy relative to the elements, uncorrected, the calculation gives -1.0522 eV/atom.

The structure belongs to space group P4/mmm (No. 123); the cell edges are 4.053, 4.053 and 5.478 Å and the angles 90.00°, 90.00° and 90.00°. Symmetry generates all atoms from Hf at (0.000, 0.000, 0.000), Zr at (0.500, 0.500, 0.500), Zn at (0.500, 0.500, 0.000) and O at (0.000, 0.500, 0.500).

=====

Record 3
Material: InGa2Si2
Method: DFT, PBE
State: relaxed

For the total energy, the calculation gives -0.268 Ry/atom. As for the crystal system: tetragonal. The energy above the most stable polymorph in this dataset comes out at 0.657 eV per formula unit. For the energy relative to the elements, uncorrected, the calculation gives 0.2753 eV/atom.

The structure belongs to space group P4/mbm (No. 127); the cell edges are 7.557, 7.557 and 3.329 Å and the angles 90.00°, 90.00° and 90.00°. Symmetry generates all atoms from In at (0.000, 0.000, 0.000), Ga at (0.169, 0.331, 0.500) and Si at (0.122, 0.622, 0.000).